No. 1
Here is a geometry-optimized BaSiNi2 structure from the Alexandria database. Energies are from GGA-PBE.

Summary:
Volume in A^3/atom: 17.3
Total magnetization in μB per cell: 0.000
Formation energy without anion corrections in meV per atom: 73

a b c (Å): 3.0973 3.0973 7.2323
angles (deg): 90.00 90.00 90.00
Atoms (fractional coordinates):
1 Ba 0.0000 0.0000 0.0000
2 Si 0.0000 0.0000 0.5000
3 Ni 0.5000 0.5000 0.3369
4 Ni 0.5000 0.5000 0.6631

No. 2
Here is a geometry-optimized Pa3Ag2S8 structure from the Alexandria database. Energies are from GGA-PBE.

Summary:
Volume in A^3/atom: 26.7
Total magnetization in μB per cell: 1.167
Formation energy without anion corrections in meV per atom: -1191

a b c (Å): 7.6915 7.6915 6.9995
angles (deg): 107.84 107.84 63.89
Atoms (fractional coordinates):
1 Pa 0.0000 0.0000 0.0000
2 Pa 0.2570 0.7430 0.5000
3 Pa 0.7430 0.2570 0.5000
4 Ag 0.3354 0.3354 0.8875
5 Ag 0.6646 0.6646 0.1125
6 S 0.1153 0.1153 0.7431
7 S 0.1210 0.6545 0.7464
8 S 0.3455 0.8790 0.2536
9 S 0.3819 0.3819 0.2799
10 S 0.6181 0.6181 0.7201
11 S 0.6545 0.1210 0.7464
12 S 0.8790 0.3455 0.2536
13 S 0.8847 0.8847 0.2569

No. 3
Here is a geometry-optimized Ca2PrSi3Au12 structure from the Alexandria database. Energies are from GGA-PBE.

Summary:
Volume in A^3/atom: 23.0
Total magnetization in μB per cell: 0.000
Formation energy without anion corrections in meV per atom: -199

a b c (Å): 7.9188 7.9188 7.9188
angles (deg): 68.61 68.61 68.61
Atoms (fractional coordinates):
1 Ca 0.0916 0.0916 0.0916
2 Ca 0.9084 0.9084 0.9084
3 Pr 0.5000 0.5000 0.5000
4 Si 0.0000 0.5000 0.5000
5 Si 0.5000 0.0000 0.5000
6 Si 0.5000 0.5000 0.0000
7 Au 0.0874 0.6595 0.6595
8 Au 0.1952 0.1952 0.6496
9 Au 0.1952 0.6496 0.1952
10 Au 0.3405 0.3405 0.9126
11 Au 0.3405 0.9126 0.3405
12 Au 0.3504 0.8048 0.8048
13 Au 0.6496 0.1952 0.1952
14 Au 0.6595 0.0874 0.6595
15 Au 0.6595 0.6595 0.0874
16 Au 0.8048 0.3504 0.8048
17 Au 0.8048 0.8048 0.3504
18 Au 0.9126 0.3405 0.3405

No. 4
Here is a geometry-optimized Al3SiTc structure from the Alexandria database. Energies are from GGA-PBE.

Summary:
Volume in A^3/atom: 21.1
Total magnetization in μB per cell: 0.000
Formation energy without anion corrections in meV per atom: 556

a b c (Å): 4.7240 4.7240 4.7240
angles (deg): 90.00 90.00 90.00
Atoms (fractional coordinates):
1 Al 0.0000 0.0000 0.5000
2 Al 0.0000 0.5000 0.0000
3 Al 0.5000 0.0000 0.0000
4 Si 0.5000 0.5000 0.5000
5 Tc 0.0000 0.0000 0.0000

Please write out number 1 again, unchanged.
Here is a geometry-optimized BaSiNi2 structure from the Alexandria database. Energies are from GGA-PBE.

Summary:
Volume in A^3/atom: 17.3
Total magnetization in μB per cell: 0.000
Formation energy without anion corrections in meV per atom: 73

a b c (Å): 3.0973 3.0973 7.2323
angles (deg): 90.00 90.00 90.00
Atoms (fractional coordinates):
1 Ba 0.0000 0.0000 0.0000
2 Si 0.0000 0.0000 0.5000
3 Ni 0.5000 0.5000 0.3369
4 Ni 0.5000 0.5000 0.6631

What is the total magnetization in the second record? 1.167 μB per cell